1.
The following is a PBE calculation of a relaxed Na5SnAu crystal, from Alexandria.

## Properties
Its spin magnetization is 0.000 μB per atom.

Geometry as extended XYZ:
```
14
Lattice="-0.170 1.496 -4.932 -4.295 -2.765 -0.703 -8.356 11.979 3.919" Properties=species:S:1:pos:R:3 pbc="T T T"
Na -11.794 8.622 0.307
Na -3.330 5.388 -0.944
Na -5.561 4.755 -3.759
Na -10.558 6.224 2.232
Na -3.259 1.454 -4.837
Na -9.562 9.256 3.121
Na -2.263 4.487 -3.948
Na -7.260 5.956 2.043
Na -9.490 5.322 -0.772
Na -1.027 2.089 -2.023
Sn -8.494 8.356 0.116
Sn -4.327 2.355 -1.832
Au 0.000 0.000 0.000
Au -4.178 5.990 1.959
```

---

2.
The following is a PBE calculation of a relaxed Na5SnAu crystal, from Alexandria.

## Properties
Its spin magnetization is 0.000 μB per atom.

Geometry as extended XYZ:
```
14
Lattice="5.826 -0.929 -1.199 0.967 5.819 -1.199 1.118 0.805 11.129" Properties=species:S:1:pos:R:3 pbc="T T T"
Na 0.895 3.451 1.052
Na 2.434 2.989 4.528
Na 4.116 0.156 6.616
Na 5.481 0.139 1.584
Na 3.745 3.932 -1.361
Na 4.166 1.763 10.092
Na 2.429 5.556 7.148
Na 3.795 5.539 2.116
Na 5.476 2.706 4.204
Na 7.016 2.244 7.680
Sn 0.000 0.000 0.000
Sn 0.559 0.402 5.565
Au 3.749 2.545 1.584
Au 4.162 3.150 7.148
```

---

Which structure is the least stable? The one labeled 2.

---

1.
The following is a PBE calculation of a relaxed Na3Sn4Au4 crystal, from Alexandria.

## Properties
Its spin magnetization is 0.000 μB per atom.

Geometry as extended XYZ:
```
11
Lattice="-3.678 -1.272 2.933 2.135 -2.954 1.396 5.983 10.737 8.110" Properties=species:S:1:pos:R:3 pbc="T T T"
Na 4.826 4.742 8.108
Na -0.386 1.769 4.332
Na 0.000 0.000 0.000
Sn 2.715 4.493 5.353
Sn 2.013 0.088 2.562
Sn 2.427 6.423 9.878
Sn 1.725 2.018 7.087
Au 1.451 4.808 7.953
Au 4.698 7.775 9.263
Au -0.258 -1.264 3.176
Au 2.990 1.703 4.487
```

---

2.
The following is a PBE calculation of a relaxed Na3Sn4Au4 crystal, from Alexandria.

## Properties
Its spin magnetization is 0.000 μB per atom.

Geometry as extended XYZ:
```
11
Lattice="-3.798 -2.373 -1.823 2.167 -2.644 -1.073 -1.131 -4.357 14.440" Properties=species:S:1:pos:R:3 pbc="T T T"
Na -0.313 -6.247 8.784
Na -2.449 -3.127 2.761
Na 0.000 0.000 0.000
Sn -3.116 -5.478 7.208
Sn -1.754 -6.188 11.709
Sn -1.008 -3.187 -0.165
Sn 0.354 -3.897 4.336
Au -1.039 -3.664 6.934
Au 0.720 -2.605 1.892
Au -3.482 -6.769 9.652
Au -1.723 -5.710 4.610
```

---

Which structure is the least stable? The one labeled 1.

---

1.
The following is a PBE calculation of a relaxed Na3SnAu4 crystal, from Alexandria.

## Properties
Its spin magnetization is 0.000 μB per atom.

Geometry as extended XYZ:
```
8
Lattice="-1.415 2.384 -4.991 -1.594 -7.218 0.973 -1.109 3.881 7.845" Properties=species:S:1:pos:R:3 pbc="T T T"
Na -2.195 -4.112 0.175
Na -0.361 -0.141 0.438
Na -1.307 3.329 2.671
Au -3.277 -1.431 1.459
Au -2.072 0.447 3.084
Au -2.132 0.353 -2.285
Au -1.513 -1.106 5.515
Sn -2.323 1.628 5.510
```

---

2.
The following is a PBE calculation of a relaxed Na3SnAu4 crystal, from Alexandria.

## Properties
Its spin magnetization is 0.000 μB per atom.

Geometry as extended XYZ:
```
8
Lattice="-5.678 -2.978 2.014 1.589 0.375 -6.519 6.264 -2.372 0.545" Properties=species:S:1:pos:R:3 pbc="T T T"
Na 2.760 -3.943 -0.227
Na 0.481 -4.390 2.100
Na -0.440 -2.350 -3.103
Sn 4.006 -1.721 -2.642
Au 6.164 -2.330 -4.248
Au 1.862 -1.237 -0.975
Au -0.645 -2.286 -0.085
Au 2.619 -0.844 -4.758
```

---

Which structure is the least stable? The one labeled 2.

---

1.
The following is a PBE calculation of a relaxed Na2SrAu crystal, from Alexandria.

## Properties
Its spin magnetization is 0.000 μB per atom.

Geometry as extended XYZ:
```
4
Lattice="3.479 -3.408 2.375 0.234 -0.302 5.405 -1.843 -4.412 2.549" Properties=species:S:1:pos:R:3 pbc="T T T"
Sr 0.000 0.000 0.000
Au 0.935 -4.061 5.165
Na 0.467 -2.030 2.583
Na 1.402 -6.091 7.748
```

---

2.
The following is a PBE calculation of a relaxed Na2SrAu crystal, from Alexandria.

## Properties
Its spin magnetization is 0.000 μB per atom.

Geometry as extended XYZ:
```
8
Lattice="4.719 -0.001 0.000 -2.360 5.570 0.000 0.000 0.000 9.571" Properties=species:S:1:pos:R:3 pbc="T T T"
Na 0.001 3.802 5.332
Na 2.359 1.768 4.239
Na 0.001 3.802 9.024
Na 2.359 1.768 0.546
Sr 2.358 5.023 2.393
Sr 0.001 0.547 7.178
Au 2.361 2.796 7.178
Au -0.002 2.773 2.393
```

---

Which structure is the least stable? The one labeled 1.

---

1.
The following is a PBE calculation of a relaxed Na2SrAu crystal, from Alexandria.

## Properties
Its spin magnetization is 0.000 μB per atom.

Geometry as extended XYZ:
```
4
Lattice="-2.307 0.338 -3.307 -4.031 -0.135 0.324 -2.383 11.382 0.351" Properties=species:S:1:pos:R:3 pbc="T T T"
Sr 0.000 0.000 0.000
Au -4.361 5.793 -1.316
Na -2.291 7.534 -0.107
Na -6.431 4.052 -2.525
```

---

2.
The following is a PBE calculation of a relaxed Na2SrAu crystal, from Alexandria.

## Properties
Its spin magnetization is 0.000 μB per atom.

Geometry as extended XYZ:
```
8
Lattice="4.556 0.000 0.000 0.000 4.556 0.000 2.278 2.278 12.287" Properties=species:S:1:pos:R:3 pbc="T T T"
Sr 2.278 2.278 0.000
Sr 2.278 4.556 6.144
Au 0.000 0.000 0.000
Au 4.556 2.278 6.144
Na 3.591 1.139 3.072
Na 0.965 3.417 3.072
Na 3.417 3.243 9.216
Na 5.695 5.869 9.216
```

---

Which structure is the least stable? The one labeled 1.

---

1.
The following is a PBE calculation of a relaxed Na3SrAu crystal, from Alexandria.

## Properties
Its spin magnetization is 0.000 μB per atom.

Geometry as extended XYZ:
```
5
Lattice="5.701 0.000 0.000 0.000 5.701 0.000 0.000 0.000 5.701" Properties=species:S:1:pos:R:3 pbc="T T T"
Sr 2.851 2.851 2.851
Au 0.000 0.000 0.000
Na 0.000 2.851 0.000
Na 0.000 0.000 2.851
Na 2.851 0.000 0.000
```

---

2.
The following is a PBE calculation of a relaxed Na3SrAu crystal, from Alexandria.

## Properties
Its spin magnetization is 0.385 μB per atom.

Geometry as extended XYZ:
```
5
Lattice="-5.843 -2.235 2.839 -0.066 -5.332 -4.332 3.613 -3.711 4.513" Properties=species:S:1:pos:R:3 pbc="T T T"
Sr 0.000 0.000 0.000
Au -1.148 -5.639 1.510
Na -0.033 -2.666 -2.166
Na 1.807 -1.856 2.257
Na -2.921 -1.118 1.420
```

---

Which structure is the least stable? The one labeled 2.

---

1.
The following is a PBE calculation of a relaxed NaSr4Au crystal, from Alexandria.

## Properties
Its spin magnetization is 0.000 μB per atom.

Geometry as extended XYZ:
```
12
Lattice="-8.082 3.171 -2.572 2.541 -3.848 -6.212 -0.945 -6.784 7.284" Properties=species:S:1:pos:R:3 pbc="T T T"
Na -1.760 -3.068 -2.963
Na -4.725 -4.392 1.462
Sr -6.864 1.255 -3.602
Sr -3.344 -1.547 -5.980
Sr -1.313 -5.328 0.262
Sr -5.172 -2.133 -1.762
Sr 0.685 -5.857 -3.410
Sr -3.141 -5.913 4.480
Sr -7.170 -1.604 1.910
Sr 0.379 -8.715 2.101
Au 0.902 -7.297 -0.603
Au -7.387 -0.163 -0.897
```

---

2.
The following is a PBE calculation of a relaxed NaSr4Au crystal, from Alexandria.

## Properties
Its spin magnetization is 0.000 μB per atom.

Geometry as extended XYZ:
```
12
Lattice="6.611 0.000 -1.336 0.000 8.176 0.000 -0.025 0.000 9.755" Properties=species:S:1:pos:R:3 pbc="T T T"
Na 1.805 6.132 5.127
Na 4.782 2.044 3.291
Sr 4.666 6.132 2.427
Sr 1.920 2.044 5.992
Sr 2.511 6.132 8.667
Sr 4.075 2.044 -0.249
Sr 1.005 0.084 1.953
Sr 5.581 4.172 6.466
Sr 1.005 4.004 1.953
Sr 5.581 8.092 6.466
Au 5.715 6.132 -0.739
Au 0.871 2.044 9.158
```

---

Which structure is the least stable? The one labeled 1.

---

1.
The following is a PBE calculation of a relaxed NaSrAu crystal, from Alexandria.

## Properties
Its spin magnetization is 0.000 μB per atom.

Geometry as extended XYZ:
```
6
Lattice="4.796 0.000 0.000 0.000 4.112 -0.007 0.000 -0.015 10.390" Properties=species:S:1:pos:R:3 pbc="T T T"
Na 3.597 2.034 6.361
Na 1.199 2.062 4.021
Sr 1.199 4.094 8.708
Sr 3.597 0.002 1.675
Au 1.199 2.057 0.907
Au 3.597 2.040 9.476
```

---

2.
The following is a PBE calculation of a relaxed NaSrAu crystal, from Alexandria.

## Properties
Its spin magnetization is 0.000 μB per atom.

Geometry as extended XYZ:
```
3
Lattice="-2.903 1.116 -2.454 2.397 -0.582 -3.100 -1.540 -5.722 2.416" Properties=species:S:1:pos:R:3 pbc="T T T"
Sr -0.581 -0.731 -2.843
Au -1.860 -4.626 -3.101
Na -1.111 -3.382 -0.224
```

---

3.
The following is a PBE calculation of a relaxed NaSrAu crystal, from Alexandria.

## Properties
Its spin magnetization is 0.000 μB per atom.

Geometry as extended XYZ:
```
3
Lattice="5.206 0.000 0.000 2.603 4.509 0.000 2.603 1.503 4.251" Properties=species:S:1:pos:R:3 pbc="T T T"
Sr 0.000 0.000 0.000
Au 2.603 1.503 1.063
Na 5.206 3.006 2.125
```

---

Which structure is the least stable? The one labeled 2.

---

1.
The following is a PBE calculation of a relaxed NaSrAu crystal, from Alexandria.

## Properties
Its spin magnetization is 0.000 μB per atom.

Geometry as extended XYZ:
```
3
Lattice="4.230 0.000 0.000 0.000 4.975 0.000 0.000 -2.487 4.308" Properties=species:S:1:pos:R:3 pbc="T T T"
Sr 2.822 2.487 1.436
Au 0.700 0.000 0.000
Na 0.708 0.000 2.872
```

---

2.
The following is a PBE calculation of a relaxed NaSrAu crystal, from Alexandria.

## Properties
Its spin magnetization is 0.000 μB per atom.

Geometry as extended XYZ:
```
6
Lattice="5.154 0.000 0.000 -2.577 4.489 -0.400 0.000 -2.185 8.143" Properties=species:S:1:pos:R:3 pbc="T T T"
Au 2.577 2.101 6.096
Au 0.000 0.204 1.648
Na 0.000 3.105 0.519
Na 2.577 -0.800 7.225
Sr 2.577 1.811 2.705
Sr 0.000 0.493 5.039
```

---

Which structure is the least stable? The one labeled 1.

---

1.
The following is a PBE calculation of a relaxed NaSr3Au crystal, from Alexandria.

## Properties
Its spin magnetization is 0.000 μB per atom.

Geometry as extended XYZ:
```
10
Lattice="6.049 0.000 1.689 2.552 6.800 2.536 0.243 0.170 10.804" Properties=species:S:1:pos:R:3 pbc="T T T"
Na 4.481 5.252 7.303
Na 4.363 1.718 7.725
Sr 5.443 0.133 3.858
Sr 3.401 6.837 11.170
Sr 5.540 4.548 3.510
Sr 3.304 2.422 11.518
Sr 6.940 4.436 10.174
Sr 1.905 2.533 4.855
Au 2.510 4.647 2.686
Au 6.334 2.323 12.342
```

---

2.
The following is a PBE calculation of a relaxed NaSr3Au crystal, from Alexandria.

## Properties
Its spin magnetization is 0.000 μB per atom.

Geometry as extended XYZ:
```
5
Lattice="-1.687 1.271 5.944 4.065 -4.350 2.084 4.519 4.388 0.345" Properties=species:S:1:pos:R:3 pbc="T T T"
Sr 2.032 -2.175 1.042
Sr 2.260 2.194 0.172
Sr -0.844 0.635 2.972
Au 3.448 0.654 4.186
Na 0.000 0.000 0.000
```

---

Which structure is the least stable? The one labeled 2.

---

1.
The following is a PBE calculation of a relaxed NaSrAu3 crystal, from Alexandria.

## Properties
Its spin magnetization is 0.000 μB per atom.

Geometry as extended XYZ:
```
10
Lattice="4.723 0.000 0.000 0.000 3.904 0.000 0.000 -1.952 13.828" Properties=species:S:1:pos:R:3 pbc="T T T"
Na 1.181 1.952 8.002
Na 3.542 0.000 5.825
Sr 1.181 0.000 2.133
Sr 3.542 1.952 11.695
Au 1.181 0.000 10.353
Au 3.542 1.952 3.475
Au 1.181 0.000 13.110
Au 3.542 1.952 0.717
Au 3.542 0.000 8.875
Au 1.181 1.952 4.953
```

---

2.
The following is a PBE calculation of a relaxed NaSrAu3 crystal, from Alexandria.

## Properties
Its spin magnetization is 0.000 μB per atom.

Geometry as extended XYZ:
```
5
Lattice="5.890 0.000 0.000 0.000 5.890 0.000 0.000 0.000 5.890" Properties=species:S:1:pos:R:3 pbc="T T T"
Sr 0.000 0.000 0.000
Au 0.000 2.945 0.000
Au 0.000 0.000 2.945
Au 2.945 0.000 0.000
Na 2.945 2.945 2.945
```

---

Which structure is the least stable? The one labeled 2.

---

1.
The following is a PBE calculation of a relaxed Na2SrAu2 crystal, from Alexandria.

## Properties
Its spin magnetization is 0.000 μB per atom.

Geometry as extended XYZ:
```
10
Lattice="8.028 0.000 0.000 0.000 8.028 0.000 0.000 0.000 4.348" Properties=species:S:1:pos:R:3 pbc="T T T"
Sr 0.000 0.000 0.000
Sr 4.014 4.014 0.000
Au 3.003 7.017 0.000
Au 7.017 5.025 0.000
Au 5.025 1.011 0.000
Au 1.011 3.003 0.000
Na 1.250 5.264 2.174
Na 5.264 6.779 2.174
Na 6.779 2.765 2.174
Na 2.765 1.250 2.174
```

---

2.
The following is a PBE calculation of a relaxed Na2SrAu2 crystal, from Alexandria.

## Properties
Its spin magnetization is 0.000 μB per atom.

Geometry as extended XYZ:
```
10
Lattice="8.482 0.000 0.000 0.000 8.482 0.000 0.000 0.000 3.503" Properties=species:S:1:pos:R:3 pbc="T T T"
Sr 0.000 0.000 0.000
Sr 4.241 4.241 0.000
Au 1.551 5.792 1.752
Au 5.792 6.932 1.752
Au 6.932 2.690 1.752
Au 2.690 1.551 1.752
Na 3.254 7.495 0.000
Na 7.495 5.228 0.000
Na 5.228 0.987 0.000
Na 0.987 3.254 0.000
```

---

Which structure is the least stable? The one labeled 2.